(1)
The following is a PBE calculation of a relaxed structure of MnCdCo, from Alexandria.

Cell: 4.3324 4.3324 2.7395 Å, 90.00 90.00 120.00°
Last column: nearest neighbours and their distance in Å.
Fractional positions:
Mn 0.0000 0.0000 0.0000  3 Co 2.55, 2 Mn 2.74, 3 Cd 2.75
Cd 0.6667 0.3333 0.4168  6 Co 2.73-2.99, 2 Cd 2.74, 6 Mn 2.75-2.97
Co 0.3333 0.6667 0.8164  3 Mn 2.55, 3 Cd 2.73, 2 Co 2.74

* total magnetization: 4.72 μB/cell
* energy above the most stable polymorph in this dataset: 133 meV per atom
* formation energy from the elements: 0.31 eV per atom

---

(2)
The following is a PBE calculation of a relaxed structure of MnCdCo2, from Alexandria.

Cell: 2.6573 2.6573 7.2101 Å, 90.00 90.00 90.00°
Last column: nearest neighbours and their distance in Å.
Fractional positions:
Mn 0.0000 0.0000 0.0000  8 Co 2.41, 4 Mn 2.66
Cd 0.0000 0.0000 0.5000  4 Cd 2.66, 8 Co 2.82
Co 0.5000 0.5000 0.2091  4 Mn 2.41, 4 Co 2.66
Co 0.5000 0.5000 0.7909  4 Mn 2.41, 4 Co 2.66

* total magnetization: 0.60 μB/cell
* formation energy from the elements: 0.26 eV per atom

---

(3)
The following is a PBE calculation of a relaxed structure of MnCdCo2, from Alexandria.

Cell: 8.4804 8.4804 8.4804 Å, 18.67 18.67 18.67°
Last column: nearest neighbours and their distance in Å.
Fractional positions:
Mn 0.0000 0.0000 0.0000  6 Co 2.41
Cd 0.5000 0.5000 0.5000  6 Cd 2.75, 6 Co 2.83
Co 0.2606 0.2606 0.2606  3 Mn 2.41
Co 0.7394 0.7394 0.7394  3 Mn 2.41

* total magnetization: 4.98 μB/cell
* formation energy from the elements: 0.31 eV per atom

---

(4)
The following is a PBE calculation of a relaxed structure of MnCdCo2, from Alexandria.

Cell: 3.8398 3.8398 3.7433 Å, 90.00 90.00 90.00°
Last column: nearest neighbours and their distance in Å.
Fractional positions:
Mn 0.0000 0.0000 0.0000  8 Co 2.68, 4 Cd 2.72
Cd 0.5000 0.5000 0.0000  8 Co 2.68, 4 Mn 2.72
Co 0.0000 0.5000 0.5000  4 Cd 2.68, 4 Mn 2.68, 4 Co 2.72
Co 0.5000 0.0000 0.5000  4 Cd 2.68, 4 Mn 2.68, 4 Co 2.72

* total magnetization: 6.50 μB/cell
* formation energy from the elements: 0.28 eV per atom

---

(5)
The following is a PBE calculation of a relaxed structure of MnCdCo2, from Alexandria.

Cell: 5.0018 5.0018 5.0018 Å, 144.47 129.20 63.52°
Last column: nearest neighbours and their distance in Å.
Fractional positions:
Mn 0.0000 0.0000 0.0000  6 Co 2.58-2.65, 4 Cd 2.78-2.88
Cd 0.2734 0.7734 0.5000  8 Co 2.64-2.94, 4 Mn 2.78-2.88
Co 0.5362 0.5362 0.0000  2 Co 2.41, 4 Mn 2.65
Co 0.7550 0.2550 0.5000  2 Co 2.41, 2 Mn 2.58, 4 Cd 2.64

* total magnetization: 6.59 μB/cell
* formation energy from the elements: 0.26 eV per atom

---

(6)
The following is a PBE calculation of a relaxed structure of MnCdCo2N, from Alexandria.

Cell: 3.8844 3.8844 3.9348 Å, 90.00 90.00 90.00°
Last column: nearest neighbours and their distance in Å.
Fractional positions:
Mn 0.0000 0.0000 0.0000  2 N 1.97
Cd 0.5000 0.5000 0.0000  4 Mn 2.75, 8 Co 2.76
Co 0.0000 0.5000 0.5000  2 N 1.94
Co 0.5000 0.0000 0.5000  2 N 1.94
N 0.0000 0.0000 0.5000  4 Co 1.94, 2 Mn 1.97

* formation energy from raw total energies: -31 meV/atom
* total magnetization: 5.07 μB/cell

---

(7)
The following is a PBE calculation of a relaxed structure of MnCd2CoN, from Alexandria.

Cell: 5.1722 5.1722 3.3739 Å, 90.00 90.00 90.00°
Last column: nearest neighbours and their distance in Å.
Fractional positions:
Mn 0.0000 0.0000 0.0000  8 Cd 3.09, 2 Mn 3.37
Cd 0.0000 0.5000 0.5000  2 Co 2.59
Cd 0.5000 0.0000 0.5000  2 Co 2.59
Co 0.5000 0.5000 0.5000  2 N 1.69
N 0.5000 0.5000 0.0000  2 Co 1.69

* formation energy from raw total energies: 559 meV/atom
* total magnetization: 4.25 μB/cell

---

(8)
The following is a PBE calculation of a relaxed structure of MnCd2CoNi, from Alexandria.

Cell: 4.9811 4.9811 4.0489 Å, 90.00 90.00 90.00°
Last column: nearest neighbours and their distance in Å.
Fractional positions:
Mn 0.0000 0.0000 0.0000  2 Co 2.02
Cd 0.0000 0.5000 0.0000  2 Mn 2.49
Cd 0.5000 0.0000 0.0000  2 Mn 2.49
Co 0.0000 0.0000 0.5000  2 Mn 2.02
Ni 0.5000 0.5000 0.5000  8 Cd 3.21, 4 Co 3.52

* total magnetization: 3.66 μB/cell
* formation energy from the elements: 1.21 eV per atom

---

(9)
The following is a PBE calculation of a relaxed structure of Mn2CdCoNi, from Alexandria.

Cell: 4.8811 4.8811 4.6227 Å, 90.00 90.00 90.00°
Last column: nearest neighbours and their distance in Å.
Fractional positions:
Mn 0.0000 0.5000 0.0000  2 Cd 2.44
Mn 0.5000 0.0000 0.0000  2 Cd 2.44
Cd 0.0000 0.0000 0.0000  2 Co 2.31, 4 Mn 2.44
Co 0.0000 0.0000 0.5000  2 Cd 2.31
Ni 0.5000 0.5000 0.5000  8 Mn 3.36, 4 Co 3.45

* total magnetization: 8.91 μB/cell
* formation energy from the elements: 1.79 eV per atom